--- one ---
Below is crystalline K2AuF at its relaxed geometry, with properties calculated at the PBE level.

Properties
Space group: I-42d
V, Å³/atom: 32.17

Cell and atoms, written as extended XYZ:
```
8
Lattice="-2.433 -3.654 6.261 0.697 -6.692 -3.635 3.285 -5.510 2.730" Properties=species:S:1:pos:R:3 pbc="T T T"
K 0.749 -6.323 -0.283
K -0.408 -4.192 3.618
K 0.887 -12.626 4.650
K 1.871 -8.573 2.728
F 1.557 -8.688 0.204
F -0.868 -5.173 1.313
Au -0.008 -7.169 5.152
Au 0.000 0.000 0.000
```

***

--- two ---
Below is crystalline K2AuF at its relaxed geometry, with properties calculated at the PBE level.

Properties
Space group: P4/mmm
V, Å³/atom: 23.76

Cell and atoms, written as extended XYZ:
```
4
Lattice="-1.502 1.841 -2.568 -2.981 -1.768 0.476 -2.324 5.310 5.165" Properties=species:S:1:pos:R:3 pbc="T T T"
Au -3.403 2.691 1.536
F -2.242 0.037 -1.046
K -0.477 1.089 1.059
K -1.847 4.221 4.106
```

***

--- three ---
Below is crystalline K2AuF at its relaxed geometry, with properties calculated at the PBE level.

Properties
Space group: Pnma
V, Å³/atom: 29.32

Cell and atoms, written as extended XYZ:
```
16
Lattice="4.573 0.000 0.000 0.000 7.558 0.000 0.000 0.000 13.576" Properties=species:S:1:pos:R:3 pbc="T T T"
K 3.429 4.946 3.475
K 3.429 1.167 3.313
K 1.143 2.612 10.101
K 1.143 6.391 10.263
K 1.143 6.219 6.385
K 3.429 1.339 7.191
K 1.143 2.440 0.403
K 3.429 5.118 13.173
F 3.429 6.980 5.285
F 3.429 3.201 1.503
F 1.143 0.578 8.291
F 1.143 4.357 12.073
Au 3.429 4.538 8.476
Au 1.143 6.799 1.688
Au 3.429 0.759 11.888
Au 1.143 3.020 5.100
```

***

--- four ---
Below is crystalline K2AuF at its relaxed geometry, with properties calculated at the PBE level.

Properties
Space group: Fm-3m
V, Å³/atom: 27.32

Cell and atoms, written as extended XYZ:
```
4
Lattice="-1.757 1.729 4.767 -5.261 0.071 1.056 -2.078 -3.480 3.517" Properties=species:S:1:pos:R:3 pbc="T T T"
Au -4.548 -0.840 4.669
K -6.822 -1.260 7.004
K -2.274 -0.420 2.335
F 0.000 0.000 0.000
```

***

three takes first place; second place is 3.0 kJ/mol of atoms up.

***

--- one ---
Below is crystalline K2AuF at its relaxed geometry, with properties calculated at the PBE level.

Properties
Space group: R3m
V, Å³/atom: 27.65

Cell and atoms, written as extended XYZ:
```
4
Lattice="4.085 0.000 0.000 2.042 3.538 0.000 2.042 1.179 7.654" Properties=species:S:1:pos:R:3 pbc="T T T"
K 2.042 1.179 1.514
K 2.042 1.179 6.136
F 6.127 3.538 7.648
Au 4.085 2.358 3.837
```

***

--- two ---
Below is crystalline K2AuF at its relaxed geometry, with properties calculated at the PBE level.

Properties
Space group: R-3m
V, Å³/atom: 27.78

Cell and atoms, written as extended XYZ:
```
4
Lattice="-2.882 -2.960 0.076 2.636 0.240 -3.173 5.814 -2.655 4.623" Properties=species:S:1:pos:R:3 pbc="T T T"
F 2.932 -5.616 4.699
Au 4.225 -1.208 0.725
K 1.738 -1.725 -1.375
K 3.830 -3.650 2.902
```

***

two takes first place; second place is 1.0 kJ/mol of atoms up.

***

--- one ---
Below is crystalline KAu2F at its relaxed geometry, with properties calculated at the PBE level.

Properties
Space group: Fm-3m
V, Å³/atom: 22.10

Cell and atoms, written as extended XYZ:
```
4
Lattice="3.048 -1.327 3.736 1.627 3.442 3.241 -1.677 -0.011 4.711" Properties=species:S:1:pos:R:3 pbc="T T T"
Au 0.750 0.526 2.922
Au 2.249 1.579 8.766
K 1.499 1.052 5.844
F 0.000 0.000 0.000
```

***

--- two ---
Below is crystalline KAu2F at its relaxed geometry, with properties calculated at the PBE level.

Properties
Space group: I-42d
V, Å³/atom: 25.62

Cell and atoms, written as extended XYZ:
```
8
Lattice="3.763 0.000 0.000 0.000 3.763 0.000 1.882 1.882 14.474" Properties=species:S:1:pos:R:3 pbc="T T T"
K 0.000 0.000 0.000
K 3.763 1.882 7.237
F 1.882 1.882 0.000
F 1.882 3.763 7.237
Au 4.704 4.703 10.855
Au 0.942 2.822 3.618
Au 2.821 0.941 3.618
Au 2.822 2.823 10.855
```

***

two takes first place; second place is 94.8 kJ/mol of atoms up.

***

--- one ---
Below is crystalline K2LiAuF at its relaxed geometry, with properties calculated at the PBE level.

Properties
Space group: P4/mmm
V, Å³/atom: 39.06

Cell and atoms, written as extended XYZ:
```
5
Lattice="-6.435 -0.780 -0.488 0.654 -3.805 -2.541 0.027 -3.607 5.408" Properties=species:S:1:pos:R:3 pbc="T T T"
Au 0.000 0.000 0.000
K -3.217 -0.390 -0.244
K 0.013 -1.804 2.704
Li -2.877 -4.096 1.189
F 0.327 -1.902 -1.271
```

***

--- two ---
Below is crystalline K2LiAuF at its relaxed geometry, with properties calculated at the PBE level.

Properties
Space group: P4/mmm
V, Å³/atom: 25.72

Cell and atoms, written as extended XYZ:
```
5
Lattice="5.693 0.000 0.000 0.000 5.693 0.000 0.000 0.000 3.969" Properties=species:S:1:pos:R:3 pbc="T T T"
F 0.000 0.000 0.000
K 0.000 2.846 0.000
K 2.846 0.000 0.000
Li 0.000 0.000 1.984
Au 2.846 2.846 1.984
```

***

two takes first place; second place is 74.9 kJ/mol of atoms up.

***

--- one ---
Below is crystalline KAuNF2 at its relaxed geometry, with properties calculated at the PBE level.

Properties
Space group: P4/mmm
V, Å³/atom: 25.03

Cell and atoms, written as extended XYZ:
```
5
Lattice="-3.007 0.756 -2.918 3.952 -2.941 -4.835 -1.773 -3.777 0.848" Properties=species:S:1:pos:R:3 pbc="T T T"
Au 0.000 0.000 0.000
N -0.415 -2.981 -3.452
F -0.887 -1.889 0.424
F -1.504 0.378 -1.459
K 1.976 -1.471 -2.417
```

***

--- two ---
Below is crystalline KAuNF2 at its relaxed geometry, with properties calculated at the PBE level.

Properties
Space group: P4/mmm
V, Å³/atom: 17.44

Cell and atoms, written as extended XYZ:
```
5
Lattice="-0.103 -2.181 4.292 4.732 0.745 0.492 -0.693 3.302 1.661" Properties=species:S:1:pos:R:3 pbc="T T T"
Au 0.000 0.000 0.000
N -0.346 1.651 0.831
K 1.968 0.933 3.223
F -0.051 -1.091 2.146
F 2.366 0.373 0.246
```

***

--- three ---
Below is crystalline KAuNF2 at its relaxed geometry, with properties calculated at the PBE level.

Properties
Space group: P4/mmm
V, Å³/atom: 23.56

Cell and atoms, written as extended XYZ:
```
5
Lattice="4.850 0.000 0.000 0.000 4.850 0.000 0.000 0.000 5.008" Properties=species:S:1:pos:R:3 pbc="T T T"
F 2.425 0.000 0.000
F 0.000 2.425 0.000
N 0.000 0.000 2.504
Au 2.425 2.425 2.504
K 0.000 0.000 0.000
```

***

two takes first place; second place is 75.8 kJ/mol of atoms up.

***

--- one ---
Below is crystalline KRb2AuF at its relaxed geometry, with properties calculated at the PBE level.

Properties
Space group: Cmcm
V, Å³/atom: 38.48

Cell and atoms, written as extended XYZ:
```
10
Lattice="-1.481 -3.834 1.874 2.382 -2.675 -9.034 8.369 -1.881 2.763" Properties=species:S:1:pos:R:3 pbc="T T T"
Au 3.096 -3.277 -4.258
Au 6.175 -5.113 -0.138
F 4.184 -0.940 1.382
F 0.000 0.000 0.000
K 5.578 -3.443 2.805
K 3.692 -4.947 -7.202
Rb 4.529 -2.258 -1.041
Rb 8.651 -7.011 -2.064
Rb 4.741 -6.132 -3.356
Rb 0.619 -1.379 -2.332
```

***

--- two ---
Below is crystalline KRb2AuF at its relaxed geometry, with properties calculated at the PBE level.

Properties
Space group: P4/mmm
V, Å³/atom: 33.99

Cell and atoms, written as extended XYZ:
```
5
Lattice="-3.304 -1.375 -4.374 1.249 -5.457 0.773 -4.153 -0.485 3.290" Properties=species:S:1:pos:R:3 pbc="T T T"
Rb -1.652 -0.688 -2.187
Rb 0.625 -2.729 0.386
F 0.000 0.000 0.000
K -2.077 -0.242 1.645
Au -3.104 -3.659 -0.156
```

***

two takes first place; second place is 6.6 kJ/mol of atoms up.

***

--- one ---
Below is crystalline La2Au2F at its relaxed geometry, with properties calculated at the PBE level.

Properties
Space group: P4/mbm
V, Å³/atom: 25.55

Cell and atoms, written as extended XYZ:
```
10
Lattice="-1.262 -1.187 7.284 -3.935 -6.144 -1.683 3.801 -2.503 0.251" Properties=species:S:1:pos:R:3 pbc="T T T"
La -1.549 -1.889 4.632
La -3.702 -5.135 4.858
La -3.648 -5.442 0.969
La -1.495 -2.196 0.743
Au -0.754 -5.293 0.024
Au -2.312 -7.334 3.270
Au 0.916 -2.501 2.582
Au -0.642 -4.541 5.827
F -2.599 -3.665 2.800
F 0.000 0.000 0.000
```

***

--- two ---
Below is crystalline La2Au2F at its relaxed geometry, with properties calculated at the PBE level.

Properties
Space group: I4/mmm
V, Å³/atom: 29.62

Cell and atoms, written as extended XYZ:
```
5
Lattice="-2.066 2.743 -4.399 -4.837 0.682 2.698 -1.864 5.812 0.960" Properties=species:S:1:pos:R:3 pbc="T T T"
La -3.691 5.134 -2.145
La -5.077 4.104 1.404
F 0.000 0.000 0.000
Au -3.013 2.845 -0.351
Au -5.754 6.393 -0.391
```

***

one takes first place; second place is 53.1 kJ/mol of atoms up.

***

--- one ---
Below is crystalline LaAuF3 at its relaxed geometry, with properties calculated at the PBE level.

Properties
Space group: Pm-3m
V, Å³/atom: 19.55

Cell and atoms, written as extended XYZ:
```
5
Lattice="4.607 0.000 0.000 0.000 4.607 0.000 0.000 0.000 4.607" Properties=species:S:1:pos:R:3 pbc="T T T"
F 0.000 2.303 0.000
F 0.000 0.000 2.303
F 2.303 0.000 0.000
Au 0.000 0.000 0.000
La 2.303 2.303 2.303
```

***

--- two ---
Below is crystalline LaAuF3 at its relaxed geometry, with properties calculated at the PBE level.

Properties
Space group: Pm-3m
V, Å³/atom: 20.85

Cell and atoms, written as extended XYZ:
```
5
Lattice="-2.999 1.130 -3.446 -0.500 -4.558 -1.060 -3.592 -0.309 3.025" Properties=species:S:1:pos:R:3 pbc="T T T"
La 0.000 0.000 0.000
F -1.796 -0.154 1.512
F -1.500 0.565 -1.723
F -0.250 -2.279 -0.530
Au -3.546 -1.868 -0.741
```

***

two takes first place; second place is 114.4 kJ/mol of atoms up.

***

--- one ---
Below is crystalline LaAuN2F at its relaxed geometry, with properties calculated at the PBE level.

Properties
Space group: P4/mmm
V, Å³/atom: 15.16

Cell and atoms, written as extended XYZ:
```
5
Lattice="-0.004 4.028 -0.248 -3.036 -0.166 -2.653 -3.066 0.213 3.496" Properties=species:S:1:pos:R:3 pbc="T T T"
N -0.002 2.014 -0.124
N -1.518 -0.083 -1.327
Au 0.000 0.000 0.000
F -1.533 0.106 1.748
La -3.053 2.037 0.297
```

***

--- two ---
Below is crystalline LaAuN2F at its relaxed geometry, with properties calculated at the PBE level.

Properties
Space group: P4/mmm
V, Å³/atom: 18.13

Cell and atoms, written as extended XYZ:
```
5
Lattice="4.457 0.000 0.000 0.000 4.457 0.000 0.000 0.000 4.563" Properties=species:S:1:pos:R:3 pbc="T T T"
La 0.000 0.000 0.000
N 0.000 2.229 0.000
N 2.229 0.000 0.000
F 0.000 0.000 2.281
Au 2.229 2.229 2.281
```

***

one takes first place; second place is 43.7 kJ/mol of atoms up.

***

--- one ---
Below is crystalline LaAuNF2 at its relaxed geometry, with properties calculated at the PBE level.

Properties
Space group: P4/mmm
V, Å³/atom: 16.42

Cell and atoms, written as extended XYZ:
```
5
Lattice="4.434 0.000 0.000 0.000 4.434 0.000 0.000 0.000 4.175" Properties=species:S:1:pos:R:3 pbc="T T T"
La 2.217 2.217 2.087
Au 0.000 0.000 0.000
F 0.000 2.217 0.000
F 2.217 0.000 0.000
N 0.000 0.000 2.087
```

***

--- two ---
Below is crystalline LaAuNF2 at its relaxed geometry, with properties calculated at the PBE level.

Properties
Space group: P4/mmm
V, Å³/atom: 21.50

Cell and atoms, written as extended XYZ:
```
5
Lattice="4.557 0.000 0.000 0.000 4.557 0.000 0.000 0.000 5.178" Properties=species:S:1:pos:R:3 pbc="T T T"
N 0.000 0.000 2.589
F 2.278 0.000 0.000
F 0.000 2.278 0.000
La 0.000 0.000 0.000
Au 2.278 2.278 2.589
```

***

two takes first place; second place is 35.2 kJ/mol of atoms up.

***

--- one ---
Below is crystalline LaAuOF2 at its relaxed geometry, with properties calculated at the PBE level.

Properties
Space group: P4/mmm
V, Å³/atom: 20.24

Cell and atoms, written as extended XYZ:
```
5
Lattice="-3.185 -0.043 -3.394 0.094 -4.653 -0.029 -3.405 -0.088 3.197" Properties=species:S:1:pos:R:3 pbc="T T T"
F 0.047 -2.327 -0.014
F -1.592 -0.021 -1.697
O -1.703 -0.044 1.598
La 0.000 0.000 0.000
Au -3.248 -2.392 -0.113
```

***

--- two ---
Below is crystalline LaAuOF2 at its relaxed geometry, with properties calculated at the PBE level.

Properties
Space group: P4/mmm
V, Å³/atom: 17.46

Cell and atoms, written as extended XYZ:
```
5
Lattice="4.610 0.000 0.000 0.000 4.610 0.000 0.000 0.000 4.108" Properties=species:S:1:pos:R:3 pbc="T T T"
La 2.305 2.305 2.054
F 0.000 2.305 0.000
F 2.305 0.000 0.000
Au 0.000 0.000 0.000
O 0.000 0.000 2.054
```

***

one takes first place; second place is 65.5 kJ/mol of atoms up.